1.
The following is a DFT calculation (GGA-PBEsol) of a relaxed structure of ZnSi2Rh.

## Properties
The total magnetization comes out at 0.000 μB/f.u. As for the total energy: -5.532 eV/atom. Its energy relative to the elements, uncorrected is -0.228 eV per atom. As for the volume: 13.42 A^3/atom.

a = 4.560 Å, b = 4.560 Å, c = 4.280 Å
α = 94.23°, β = 94.23°, γ = 37.25°
Sites, in units of the cell vectors:
1 Zn 0.000 0.000 0.000
2 Si 0.521 0.521 0.511
3 Si 0.758 0.758 0.237
4 Rh 0.254 0.254 0.724

2.
The following is a DFT calculation (GGA-PBEsol) of a relaxed structure of Li4Mn3OF8.

## Properties
The total magnetization comes out at 14.939 μB/f.u. As for the total energy: -6.024 eV/atom. Its energy relative to the elements, uncorrected is -2.411 eV per atom. As for the volume: 9.92 A^3/atom.

a = 5.050 Å, b = 5.050 Å, c = 11.487 Å
α = 101.50°, β = 101.50°, γ = 33.63°
Sites, in units of the cell vectors:
1 Li 0.000 0.000 0.000
2 Li 0.095 0.095 0.315
3 Li 0.720 0.720 0.894
4 Li 0.867 0.867 0.435
5 Mn 0.300 0.300 0.151
6 Mn 0.437 0.437 0.722
7 Mn 0.621 0.621 0.561
8 O 0.993 0.993 0.606
9 F 0.058 0.058 0.847
10 F 0.237 0.237 0.479
11 F 0.356 0.356 0.961
12 F 0.489 0.489 0.380
13 F 0.660 0.660 0.048
14 F 0.735 0.735 0.274
15 F 0.773 0.773 0.733
16 F 0.961 0.961 0.164

3.
The following is a DFT calculation (GGA-PBEsol) of a relaxed structure of DyTmAg2.

## Properties
The total magnetization comes out at 0.000 μB/f.u. As for the total energy: -4.467 eV/atom. Its formation energy is -0.342 eV/atom. As for the volume: 22.26 A^3/atom.

a = 5.012 Å, b = 5.012 Å, c = 5.012 Å
α = 60.00°, β = 60.00°, γ = 60.00°
Sites, in units of the cell vectors:
1 Dy 0.000 0.000 0.000
2 Tm 0.500 0.500 0.500
3 Ag 0.250 0.250 0.250
4 Ag 0.750 0.750 0.750

4.
The following is a DFT calculation (GGA-PBEsol) of a relaxed structure of Li2AsRu.

## Properties
The total magnetization comes out at 0.000 μB/f.u. As for the total energy: -5.093 eV/atom. Its formation energy is -0.290 eV/atom. As for the volume: 13.95 A^3/atom.

a = 3.115 Å, b = 3.115 Å, c = 5.748 Å
α = 90.00°, β = 90.00°, γ = 90.00°
Sites, in units of the cell vectors:
1 Li 0.000 0.000 0.000
2 Li 0.500 0.500 0.268
3 As 0.500 0.500 0.730
4 Ru 0.000 0.000 0.530

5.
The following is a DFT calculation (GGA-PBEsol) of a relaxed structure of TlPbCl3.

## Properties
The total magnetization comes out at 0.000 μB/f.u. As for the total energy: -3.465 eV/atom. Its energy relative to the elements, uncorrected is -0.935 eV per atom. As for the volume: 34.11 A^3/atom.

a = 5.546 Å, b = 5.546 Å, c = 5.546 Å
α = 90.00°, β = 90.00°, γ = 90.00°
Sites, in units of the cell vectors:
1 Tl 0.000 0.000 0.000
2 Pb 0.500 0.500 0.500
3 Cl 0.000 0.500 0.500
4 Cl 0.500 0.000 0.500
5 Cl 0.500 0.500 0.000

6.
The following is a DFT calculation (GGA-PBEsol) of a relaxed structure of TaSiCl2.

## Properties
The total magnetization comes out at 0.000 μB/f.u. As for the total energy: -5.449 eV/atom. Its energy relative to the elements, uncorrected is 0.129 eV per atom. As for the volume: 16.49 A^3/atom.

a = 2.900 Å, b = 4.425 Å, c = 5.140 Å
α = 90.00°, β = 90.00°, γ = 90.00°
Sites, in units of the cell vectors:
1 Ta 0.000 0.000 0.000
2 Si 0.500 0.000 0.500
3 Cl 0.000 0.500 0.500
4 Cl 0.500 0.500 0.000

7.
The following is a DFT calculation (GGA-PBEsol) of a relaxed structure of YCu2Te.

## Properties
The total magnetization comes out at 0.000 μB/f.u. As for the total energy: -4.982 eV/atom. Its energy relative to the elements, uncorrected is -0.228 eV per atom. As for the volume: 19.66 A^3/atom.

a = 5.742 Å, b = 5.742 Å, c = 5.742 Å
α = 42.63°, β = 42.63°, γ = 42.63°
Sites, in units of the cell vectors:
1 Y 0.000 0.000 0.000
2 Cu 0.231 0.231 0.231
3 Cu 0.769 0.769 0.769
4 Te 0.500 0.500 0.500

8.
The following is a DFT calculation (GGA-PBEsol) of a relaxed structure of TiSe2O6.

## Properties
The total magnetization comes out at 0.000 μB/f.u. As for the total energy: -6.799 eV/atom. Its energy relative to the elements, uncorrected is -1.519 eV per atom. As for the volume: 14.04 A^3/atom.

a = 4.765 Å, b = 8.350 Å, c = 6.776 Å
α = 90.00°, β = 110.43°, γ = 90.00°
Sites, in units of the cell vectors:
1 Ti 0.000 0.000 0.000
2 Ti 0.000 0.500 0.500
3 Se 0.372 0.144 0.678
4 Se 0.372 0.356 0.178
5 Se 0.628 0.644 0.822
6 Se 0.628 0.856 0.322
7 O 0.101 0.053 0.750
8 O 0.101 0.447 0.250
9 O 0.264 0.158 0.175
10 O 0.264 0.342 0.675
11 O 0.329 0.657 0.589
12 O 0.329 0.843 0.089
13 O 0.671 0.157 0.911
14 O 0.671 0.343 0.411
15 O 0.736 0.658 0.325
16 O 0.736 0.842 0.825
17 O 0.899 0.553 0.750
18 O 0.899 0.947 0.250

9.
The following is a DFT calculation (GGA-PBEsol) of a relaxed structure of LiHg2Rh.

## Properties
The total magnetization comes out at 0.000 μB/f.u. As for the total energy: -2.979 eV/atom. Its formation energy is -0.169 eV/atom. As for the volume: 16.41 A^3/atom.

a = 3.174 Å, b = 3.174 Å, c = 6.516 Å
α = 90.00°, β = 90.00°, γ = 90.00°
Sites, in units of the cell vectors:
1 Li 0.000 0.000 0.000
2 Hg 0.500 0.500 0.243
3 Hg 0.500 0.500 0.757
4 Rh 0.000 0.000 0.500

10.
The following is a DFT calculation (GGA-PBEsol) of a relaxed structure of LiCo2Ag.

## Properties
The total magnetization comes out at 3.067 μB/f.u. As for the total energy: -4.782 eV/atom. Its formation energy is 0.406 eV/atom. As for the volume: 12.89 A^3/atom.

a = 2.536 Å, b = 2.536 Å, c = 8.956 Å
α = 90.00°, β = 90.00°, γ = 116.50°
Sites, in units of the cell vectors:
1 Li 0.000 0.000 0.000
2 Co 0.500 0.500 0.241
3 Co 0.500 0.500 0.759
4 Ag 0.000 0.000 0.500

11.
The following is a DFT calculation (GGA-PBEsol) of a relaxed structure of CrPbNO2.

## Properties
The total magnetization comes out at 0.029 μB/f.u. As for the total energy: -7.519 eV/atom. Its energy relative to the elements, uncorrected is -0.866 eV per atom. As for the volume: 11.01 A^3/atom.

a = 3.841 Å, b = 3.841 Å, c = 3.732 Å
α = 90.00°, β = 90.00°, γ = 90.00°
Sites, in units of the cell vectors:
1 Cr 0.000 0.000 0.000
2 Pb 0.500 0.500 0.500
3 N 0.000 0.000 0.500
4 O 0.000 0.500 0.000
5 O 0.500 0.000 0.000

12.
The following is a DFT calculation (GGA-PBEsol) of a relaxed structure of BaP2.

## Properties
The total magnetization comes out at 0.000 μB/f.u. As for the total energy: -5.255 eV/atom. Its formation energy is -0.678 eV/atom. As for the volume: 31.10 A^3/atom.

a = 5.670 Å, b = 5.670 Å, c = 9.063 Å
α = 119.64°, β = 119.64°, γ = 49.81°
Sites, in units of the cell vectors:
1 Ba 0.232 0.232 0.256
2 Ba 0.768 0.768 0.744
3 P 0.424 0.424 0.666
4 P 0.432 0.432 0.059
5 P 0.568 0.568 0.941
6 P 0.576 0.576 0.334

13.
The following is a DFT calculation (GGA-PBEsol) of a relaxed structure of Li2CrIr.

## Properties
The total magnetization comes out at 3.787 μB/f.u. As for the total energy: -5.606 eV/atom. Its formation energy is 0.393 eV/atom. As for the volume: 12.47 A^3/atom.

a = 4.132 Å, b = 4.132 Å, c = 4.132 Å
α = 60.00°, β = 60.00°, γ = 60.00°
Sites, in units of the cell vectors:
1 Li 0.250 0.250 0.250
2 Li 0.750 0.750 0.750
3 Cr 0.000 0.000 0.000
4 Ir 0.500 0.500 0.500

14.
The following is a DFT calculation (GGA-PBEsol) of a relaxed structure of LiCdPb2.

## Properties
The total magnetization comes out at 0.000 μB/f.u. As for the total energy: -2.881 eV/atom. Its formation energy is -0.091 eV/atom. As for the volume: 24.75 A^3/atom.

a = 3.373 Å, b = 4.481 Å, c = 6.550 Å
α = 90.00°, β = 90.00°, γ = 90.00°
Sites, in units of the cell vectors:
1 Li 0.000 0.000 0.000
2 Cd 0.500 0.500 0.776
3 Pb 0.000 0.000 0.524
4 Pb 0.500 0.500 0.241

15.
The following is a DFT calculation (GGA-PBEsol) of a relaxed structure of Be2ReAu.

## Properties
The total magnetization comes out at 0.000 μB/f.u. As for the total energy: -6.142 eV/atom. Its formation energy is 0.172 eV/atom. As for the volume: 12.06 A^3/atom.

a = 5.031 Å, b = 5.031 Å, c = 5.031 Å
α = 148.86°, β = 132.46°, γ = 57.93°
Sites, in units of the cell vectors:
1 Be 0.000 0.000 0.000
2 Be 0.772 0.272 0.500
3 Re 0.260 0.760 0.500
4 Au 0.535 0.535 0.000

16.
The following is a DFT calculation (GGA-PBEsol) of a relaxed structure of MnB2W2.

## Properties
The total magnetization comes out at 1.994 μB/f.u. As for the total energy: -10.729 eV/atom. Its formation energy is -0.447 eV/atom. As for the volume: 10.40 A^3/atom.

a = 5.740 Å, b = 5.740 Å, c = 3.157 Å
α = 90.00°, β = 90.00°, γ = 90.00°
Sites, in units of the cell vectors:
1 Mn 0.000 0.000 0.000
2 Mn 0.500 0.500 0.000
3 B 0.115 0.385 0.000
4 B 0.385 0.885 0.000
5 B 0.615 0.115 0.000
6 B 0.885 0.615 0.000
7 W 0.178 0.678 0.500
8 W 0.322 0.178 0.500
9 W 0.678 0.822 0.500
10 W 0.822 0.322 0.500

17.
The following is a DFT calculation (GGA-PBEsol) of a relaxed structure of LaTe2Mo.

## Properties
The total magnetization comes out at 0.001 μB/f.u. As for the total energy: -5.734 eV/atom. Its energy relative to the elements, uncorrected is 0.307 eV per atom. As for the volume: 25.41 A^3/atom.

a = 10.532 Å, b = 10.532 Å, c = 10.532 Å
α = 18.40°, β = 18.40°, γ = 18.40°
Sites, in units of the cell vectors:
1 La 0.000 0.000 0.000
2 Te 0.417 0.417 0.417
3 Te 0.583 0.583 0.583
4 Mo 0.500 0.500 0.500

18.
The following is a DFT calculation (GGA-PBEsol) of a relaxed structure of HfMg2Sb2.

## Properties
The total magnetization comes out at 0.000 μB/f.u. As for the total energy: -4.828 eV/atom. Its energy relative to the elements, uncorrected is -0.217 eV per atom. As for the volume: 23.25 A^3/atom.

a = 7.530 Å, b = 7.530 Å, c = 4.101 Å
α = 90.00°, β = 90.00°, γ = 90.00°
Sites, in units of the cell vectors:
1 Hf 0.000 0.000 0.000
2 Hf 0.500 0.500 0.000
3 Mg 0.155 0.345 0.500
4 Mg 0.345 0.845 0.500
5 Mg 0.655 0.155 0.500
6 Mg 0.845 0.655 0.500
7 Sb 0.155 0.655 0.000
8 Sb 0.345 0.155 0.000
9 Sb 0.655 0.845 0.000
10 Sb 0.845 0.345 0.000

19.
The following is a DFT calculation (GGA-PBEsol) of a relaxed structure of ScCr2NiH.

## Properties
The total magnetization comes out at 7.717 μB/f.u. As for the total energy: -6.078 eV/atom. As for the volume: 18.92 A^3/atom.

a = 4.492 Å, b = 4.492 Å, c = 4.688 Å
α = 90.00°, β = 90.00°, γ = 90.00°
Sites, in units of the cell vectors:
1 Sc 0.000 0.000 0.000
2 Cr 0.000 0.500 0.500
3 Cr 0.500 0.000 0.500
4 Ni 0.000 0.000 0.500
5 H 0.500 0.500 0.000

20.
The following is a DFT calculation (GGA-PBEsol) of a relaxed structure of KOs2.

## Properties
The total magnetization comes out at 0.008 μB/f.u. As for the total energy: -7.465 eV/atom. Its formation energy is 1.057 eV/atom. As for the volume: 20.02 A^3/atom.

a = 7.554 Å, b = 7.554 Å, c = 7.554 Å
α = 158.07°, β = 158.07°, γ = 31.21°
Sites, in units of the cell vectors:
1 K 0.000 0.000 0.000
2 Os 0.300 0.300 0.000
3 Os 0.700 0.700 0.000